Entry 1:
A plane-wave DFT calculation with PBEsol was carried out for an optimized crystal structure of CaLa2BeO5.

Output
As for the space group: Pna2_1 (33). Its uncorrected formation energy is -3.206 eV per atom. Its total energy is -7.992 eV per atom. Its density of states at the Fermi level is 0.000 states/eV/f.u.

a = 6.534 Å, b = 7.253 Å, c = 9.527 Å
α = 90.00°, β = 90.00°, γ = 90.00°
Element x y z (fractional)
Ca (0.577, 0.980, 0.678)
Ca (0.423, 0.480, 0.322)
Ca (0.077, 0.480, 0.822)
Ca (0.923, 0.980, 0.178)
La (0.098, 0.746, 0.524)
La (0.402, 0.746, 0.024)
La (0.902, 0.246, 0.476)
La (0.598, 0.246, 0.976)
La (0.927, 0.529, 0.170)
La (0.073, 0.029, 0.830)
La (0.427, 0.029, 0.330)
La (0.573, 0.529, 0.670)
Be (0.694, 0.749, 0.395)
Be (0.806, 0.749, 0.895)
Be (0.306, 0.249, 0.605)
Be (0.194, 0.249, 0.105)
O (0.018, 0.751, 0.987)
O (0.482, 0.751, 0.487)
O (0.982, 0.251, 0.013)
O (0.518, 0.251, 0.513)
O (0.641, 0.749, 0.223)
O (0.859, 0.749, 0.723)
O (0.359, 0.249, 0.777)
O (0.141, 0.249, 0.277)
O (0.166, 0.747, 0.272)
O (0.334, 0.747, 0.772)
O (0.834, 0.247, 0.728)
O (0.666, 0.247, 0.228)
O (0.310, 0.058, 0.071)
O (0.193, 0.442, 0.576)
O (0.690, 0.558, 0.929)
O (0.807, 0.942, 0.424)
O (0.693, 0.942, 0.924)
O (0.810, 0.558, 0.429)
O (0.307, 0.442, 0.076)
O (0.190, 0.058, 0.571)

=====

Entry 2:
A plane-wave DFT calculation with PBEsol was carried out for an optimized crystal structure of NbCd2MoH.

Output
As for the space group: P4/mmm (123). Its total energy is -4.661 eV per atom. Its density of states at the Fermi level is 4.211 states/eV/f.u.

a = 3.145 Å, b = 5.246 Å, c = 5.246 Å
α = 90.00°, β = 90.00°, γ = 90.00°
Element x y z (fractional)
H (0.500, 0.000, 0.000)
Mo (0.000, 0.000, 0.000)
Nb (0.500, 0.500, 0.500)
Cd (0.000, 0.000, 0.500)
Cd (0.000, 0.500, 0.000)

=====

Entry 3:
A plane-wave DFT calculation with PBEsol was carried out for an optimized crystal structure of KMg2Ga2.

Output
Its formation energy is -0.27 eV/f.u. As for the space group: P4/mbm (127). Its total energy is -2.303 eV per atom. Its density of states at the Fermi level is 2.561 states/eV/f.u.

a = 2.981 Å, b = 8.764 Å, c = 8.764 Å
α = 90.00°, β = 90.00°, γ = 90.00°
Element x y z (fractional)
K (0.000, 0.000, 0.000)
K (0.000, 0.500, 0.500)
Mg (0.500, 0.135, 0.635)
Mg (0.500, 0.635, 0.865)
Mg (0.500, 0.865, 0.365)
Mg (0.500, 0.365, 0.135)
Ga (0.000, 0.345, 0.845)
Ga (0.000, 0.845, 0.655)
Ga (0.000, 0.655, 0.155)
Ga (0.000, 0.155, 0.345)

=====

Entry 4:
A plane-wave DFT calculation with PBEsol was carried out for an optimized crystal structure of Bi6P2O15.

Output
As for the space group: Ccc2 (37). Its uncorrected formation energy is -1.509 eV per atom. Its total energy is -6.554 eV per atom. Its density of states at the Fermi level is 7.414 states/eV/f.u.

a = 5.786 Å, b = 11.409 Å, c = 11.409 Å
α = 116.96°, β = 90.00°, γ = 90.00°
Element x y z (fractional)
Bi (0.259, 0.050, 0.179)
Bi (0.759, 0.179, 0.050)
Bi (0.661, 0.262, 0.413)
Bi (0.161, 0.413, 0.262)
Bi (0.677, 0.101, 0.693)
Bi (0.177, 0.693, 0.101)
Bi (0.177, 0.307, 0.899)
Bi (0.677, 0.899, 0.307)
Bi (0.661, 0.738, 0.587)
Bi (0.161, 0.587, 0.738)
Bi (0.759, 0.821, 0.950)
Bi (0.259, 0.950, 0.821)
P (0.153, 0.226, 0.549)
P (0.653, 0.549, 0.226)
P (0.653, 0.451, 0.774)
P (0.153, 0.774, 0.451)
O (0.628, 0.067, 0.254)
O (0.128, 0.254, 0.067)
O (0.883, 0.292, 0.277)
O (0.383, 0.277, 0.292)
O (0.962, 0.145, 0.445)
O (0.462, 0.445, 0.145)
O (0.390, 0.158, 0.496)
O (0.890, 0.496, 0.158)
O (0.657, 0.560, 0.367)
O (0.157, 0.367, 0.560)
O (0.084, 0.221, 0.677)
O (0.584, 0.677, 0.221)
O (0.400, 0.143, 0.836)
O (0.900, 0.836, 0.143)
O (0.953, 0.000, 0.000)
O (0.453, 0.000, 0.000)
O (0.900, 0.164, 0.857)
O (0.400, 0.857, 0.164)
O (0.584, 0.323, 0.779)
O (0.084, 0.779, 0.323)
O (0.657, 0.440, 0.633)
O (0.157, 0.633, 0.440)
O (0.390, 0.842, 0.504)
O (0.890, 0.504, 0.842)
O (0.462, 0.555, 0.855)
O (0.962, 0.855, 0.555)
O (0.883, 0.708, 0.723)
O (0.383, 0.723, 0.708)
O (0.128, 0.746, 0.933)
O (0.628, 0.933, 0.746)

=====

Entry 5:
A plane-wave DFT calculation with PBEsol was carried out for an optimized crystal structure of Li2AsAu.

Output
Its formation energy is -1.96 eV/f.u. As for the space group: Pmm2 (25). Its total energy is -3.731 eV per atom. Its density of states at the Fermi level is 1.324 states/eV/f.u.

a = 2.834 Å, b = 4.441 Å, c = 4.768 Å
α = 90.00°, β = 90.00°, γ = 90.00°
Element x y z (fractional)
As (0.500, 0.000, 0.543)
Au (0.500, 0.500, 0.206)
Li (0.000, 0.000, 0.046)
Li (0.000, 0.500, 0.705)

=====

Entry 6:
A plane-wave DFT calculation with PBEsol was carried out for an optimized crystal structure of InSb2Te.

Output
For the energy above the most stable polymorph in this dataset, the calculation gives 0 meV/atom. As for the space group: P4/mmm (123). Its uncorrected formation energy is -0.109 eV per atom. Its total energy is -4.015 eV per atom. Its density of states at the Fermi level is 1.735 states/eV/f.u.

a = 4.362 Å, b = 4.362 Å, c = 6.059 Å
α = 90.00°, β = 90.00°, γ = 90.00°
Element x y z (fractional)
Sb (0.000, 0.000, 0.125)
Sb (0.500, 0.500, 0.125)
Te (0.000, 0.000, 0.625)
In (0.500, 0.500, 0.625)